Entry 1:
DFT (PBE-GGA) results for a relaxed YErGaOs crystal.

a b c (Å): 4.9093 4.9093 4.9093
angles (deg): 60.00 60.00 60.00
Fractional coordinates of all 4 atoms:
Ga 0.7500 0.7500 0.7500
Os 0.2500 0.2500 0.2500
Y 0.0000 0.0000 0.0000
Er 0.5000 0.5000 0.5000

Values from the calculation:
Mass density: 10.243 g/cm3
VASP energy: -6.69 eV/atom
Spin magnetization: 0.00 μB/f.u.
SG: F-43m, No. 216

=====

Entry 2:
DFT (PBE-GGA) results for a relaxed ReRhIN2 crystal.

a b c (Å): 3.8060 3.8060 7.5249
angles (deg): 90.00 90.00 90.00
Fractional coordinates of all 5 atoms:
Re 0.5000 0.5000 0.5000
N 0.0000 0.5000 0.0000
N 0.5000 0.0000 0.0000
Rh 0.0000 0.0000 0.0000
I 0.0000 0.0000 0.5000

Values from the calculation:
Mass density: 6.764 g/cm3
Uncorrected formation energy: 9.8 eV/f.u.
Spin magnetization: 3.40 μB/f.u.
SG: P4/mmm, No. 123

=====

Entry 3:
DFT (PBE-GGA) results for a relaxed Pm4MgAu crystal.

a b c (Å): 8.3465 8.3465 8.3465
angles (deg): 112.21 112.21 104.13
Fractional coordinates of all 12 atoms:
Au 0.7520 0.7520 0.0000
Au 0.5020 0.0020 0.5000
Pm 0.6952 0.5167 0.1785
Pm 0.2667 0.9452 0.6785
Pm 0.3382 0.5167 0.8215
Pm 0.7337 0.4214 0.6876
Pm 0.1714 0.9838 0.1876
Pm 0.7337 0.0461 0.3124
Pm 0.7961 0.9837 0.8124
Pm 0.2667 0.5882 0.3215
Mg 0.9971 0.4971 0.5000
Mg 0.2471 0.2471 0.0000

Values from the calculation:
Mass density: 5.984 g/cm3
VASP energy: -3.80 eV/atom
Spin magnetization: 0.00 μB/f.u.
SG: I4_1md, No. 109

=====

Entry 4:
DFT (PBE-GGA) results for a relaxed V2RuRh4 crystal.

a b c (Å): 3.7383 5.2861 5.2861
angles (deg): 98.66 90.00 90.00
Fractional coordinates of all 7 atoms:
V 0.0000 0.7301 0.2699
V 0.0000 0.2699 0.7301
Rh 0.5000 0.5000 0.0000
Rh 0.5000 0.0000 0.5000
Rh 0.0000 0.2096 0.2096
Rh 0.0000 0.7904 0.7904
Ru 0.5000 0.5000 0.5000

Values from the calculation:
Mass density: 9.882 g/cm3
VASP energy: -8.24 eV/atom
Spin magnetization: 0.00 μB/f.u.
SG: Cmmm, No. 65

=====

Entry 5:
DFT (PBE-GGA) results for a relaxed ReRuBr2 crystal.

a b c (Å): 3.1356 3.1356 8.7868
angles (deg): 90.00 90.00 123.56
Fractional coordinates of all 4 atoms:
Br 0.0000 0.0000 0.5004
Br 0.0000 0.0000 0.9996
Re 0.5000 0.5000 0.2500
Ru 0.5000 0.5000 0.7500

Values from the calculation:
Mass density: 10.313 g/cm3
Uncorrected formation energy: 5.1 eV/f.u.
Spin magnetization: 1.29 μB/f.u.
SG: Cmmm, No. 65

=====

Entry 6:
DFT (PBE-GGA) results for a relaxed DyEr2ZrSc4 crystal.

a b c (Å): 4.7514 4.7689 10.4473
angles (deg): 62.87 90.00 90.00
Fractional coordinates of all 8 atoms:
Sc 0.5000 0.2610 0.7390
Sc 0.5000 0.7390 0.2610
Sc 0.0000 0.2391 0.2610
Sc 0.0000 0.7609 0.7390
Er 0.0000 0.0000 0.0000
Er 0.5000 0.0000 0.5000
Zr 0.0000 0.5000 0.5000
Dy 0.5000 0.5000 0.0000

Values from the calculation:
Mass density: 6.054 g/cm3
VASP energy: -5.90 eV/atom
Spin magnetization: 0.00 μB/f.u.
SG: Pmmm, No. 47

=====

Entry 7:
DFT (PBE-GGA) results for a relaxed NaSiN2O crystal.

a b c (Å): 3.6692 3.6692 3.6467
angles (deg): 90.00 90.00 90.00
Fractional coordinates of all 5 atoms:
O 0.0000 0.0000 0.5000
N 0.5000 0.0000 0.0000
N 0.0000 0.5000 0.0000
Si 0.0000 0.0000 0.0000
Na 0.5000 0.5000 0.5000

Values from the calculation:
Mass density: 3.216 g/cm3
Uncorrected formation energy: -1.2 eV/f.u.
Spin magnetization: 2.46 μB/f.u.
SG: P4/mmm, No. 123

=====

Entry 8:
DFT (PBE-GGA) results for a relaxed MgCo2Au crystal.

a b c (Å): 2.7627 3.9779 5.2397
angles (deg): 90.00 90.00 90.00
Fractional coordinates of all 4 atoms:
Co 0.0000 0.0000 0.0183
Co 0.0000 0.0000 0.4817
Mg 0.5000 0.5000 0.2500
Au 0.5000 0.5000 0.7500

Values from the calculation:
Mass density: 9.780 g/cm3
VASP energy: -4.61 eV/atom
Spin magnetization: 3.05 μB/f.u.
SG: Pmmm, No. 47

=====

Entry 9:
DFT (PBE-GGA) results for a relaxed Cs2Ge2Rh crystal.

a b c (Å): 4.9522 4.9522 7.9693
angles (deg): 71.90 71.90 90.00
Fractional coordinates of all 5 atoms:
Cs 0.2500 0.7500 0.5000
Cs 0.7500 0.2500 0.5000
Rh 0.0000 0.0000 0.0000
Ge 0.5782 0.5782 0.8435
Ge 0.4218 0.4218 0.1565

Values from the calculation:
Mass density: 4.862 g/cm3
VASP energy: -2.79 eV/atom
Spin magnetization: 0.95 μB/f.u.
SG: I4/mmm, No. 139

=====

Entry 10:
DFT (PBE-GGA) results for a relaxed ZnTe3I crystal.

a b c (Å): 5.9009 5.9009 5.9009
angles (deg): 90.00 90.00 90.00
Fractional coordinates of all 5 atoms:
Te 0.5000 0.0000 0.0000
Te 0.0000 0.5000 0.0000
Te 0.0000 0.0000 0.5000
Zn 0.5000 0.5000 0.5000
I 0.0000 0.0000 0.0000

Values from the calculation:
Mass density: 4.648 g/cm3
Uncorrected formation energy: 4.4 eV/f.u.
Spin magnetization: 0.00 μB/f.u.
SG: Pm-3m, No. 221

=====

Entry 11:
DFT (PBE-GGA) results for a relaxed CeNd4N4 crystal.

a b c (Å): 3.6255 6.3483 8.1758
angles (deg): 75.64 77.19 73.41
Fractional coordinates of all 9 atoms:
Nd 0.1070 0.1722 0.6137
Nd 0.7054 0.4004 0.1887
Nd 0.2946 0.5996 0.8113
Nd 0.8930 0.8278 0.3863
N 0.6958 0.9070 0.7014
N 0.0979 0.7133 0.0910
N 0.9021 0.2867 0.9090
N 0.3042 0.0930 0.2986
Ce 0.5000 0.0000 0.0000

Values from the calculation:
Mass density: 7.447 g/cm3
Uncorrected formation energy: -11.2 eV/f.u.
Spin magnetization: 0.65 μB/f.u.
SG: C2/m, No. 12

=====

Entry 12:
DFT (PBE-GGA) results for a relaxed LiPb2Se crystal.

a b c (Å): 5.2509 5.2509 3.7793
angles (deg): 90.00 90.00 100.92
Fractional coordinates of all 4 atoms:
Pb 0.0000 0.0000 0.0000
Pb 0.5000 0.5000 0.0000
Li 0.0000 0.5000 0.5000
Se 0.5000 0.0000 0.5000

Values from the calculation:
Mass density: 8.120 g/cm3
Uncorrected formation energy: -1.0 eV/f.u.
Spin magnetization: 0.00 μB/f.u.
SG: Cmmm, No. 65

=====

Entry 13:
DFT (PBE-GGA) results for a relaxed Cr2Si2Pb crystal.

a b c (Å): 7.0619 7.0619 3.0719
angles (deg): 90.00 90.00 90.00
Fractional coordinates of all 10 atoms:
Pb 0.5000 0.5000 0.0000
Pb 0.0000 0.0000 0.0000
Cr 0.1485 0.3515 0.0000
Cr 0.6485 0.1485 0.0000
Cr 0.8515 0.6485 0.0000
Cr 0.3515 0.8515 0.0000
Si 0.1328 0.6328 0.5000
Si 0.6328 0.8672 0.5000
Si 0.3672 0.1328 0.5000
Si 0.8672 0.3672 0.5000

Values from the calculation:
Mass density: 7.964 g/cm3
Uncorrected formation energy: 1.6 eV/f.u.
Spin magnetization: 2.45 μB/f.u.
SG: P4/mbm, No. 127

=====

Entry 14:
DFT (PBE-GGA) results for a relaxed CdCoTe3 crystal.

a b c (Å): 5.0943 5.0943 5.0943
angles (deg): 90.00 90.00 90.00
Fractional coordinates of all 5 atoms:
Te 0.0000 0.5000 0.0000
Te 0.5000 0.0000 0.0000
Te 0.0000 0.0000 0.5000
Co 0.0000 0.0000 0.0000
Cd 0.5000 0.5000 0.5000

Values from the calculation:
Mass density: 6.960 g/cm3
Uncorrected formation energy: 1.6 eV/f.u.
Spin magnetization: 0.64 μB/f.u.
SG: Pm-3m, No. 221

=====

Entry 15:
DFT (PBE-GGA) results for a relaxed LiCd4Au3 crystal.

a b c (Å): 3.0551 4.1716 12.9709
angles (deg): 78.62 83.26 89.94
Fractional coordinates of all 8 atoms:
Au 0.5000 0.5000 0.0000
Au 0.6564 0.1412 0.6885
Au 0.3436 0.8588 0.3115
Cd 0.0958 0.5702 0.8085
Cd 0.9042 0.4298 0.1915
Cd 0.2170 0.7118 0.5671
Cd 0.7830 0.2882 0.4329
Li 0.0000 0.0000 0.0000

Values from the calculation:
Mass density: 10.811 g/cm3
VASP energy: -2.11 eV/atom
Spin magnetization: 0.00 μB/f.u.
SG: P-1, No. 2

=====

Entry 16:
DFT (PBE-GGA) results for a relaxed LiSb3Pb crystal.

a b c (Å): 5.1416 5.1416 5.1416
angles (deg): 90.00 90.00 90.00
Fractional coordinates of all 5 atoms:
Pb 0.5000 0.5000 0.5000
Sb 0.0000 0.0000 0.5000
Sb 0.0000 0.5000 0.0000
Sb 0.5000 0.0000 0.0000
Li 0.0000 0.0000 0.0000

Values from the calculation:
Mass density: 7.079 g/cm3
Uncorrected formation energy: 1.2 eV/f.u.
Spin magnetization: 0.00 μB/f.u.
SG: Pm-3m, No. 221

=====

Entry 17:
DFT (PBE-GGA) results for a relaxed PrBeF5 crystal.

a b c (Å): 7.2816 6.5862 8.7390
angles (deg): 90.00 90.00 90.00
Fractional coordinates of all 28 atoms:
F 0.7500 0.5010 0.9914
F 0.9197 0.6678 0.5620
F 0.7500 0.3045 0.7109
F 0.5803 0.6678 0.5620
F 0.9197 0.8322 0.0620
F 0.7500 0.9990 0.4914
F 0.7500 0.1955 0.2109
F 0.4197 0.1678 0.9380
F 0.2500 0.0010 0.5086
F 0.7500 0.6203 0.2678
F 0.5803 0.8322 0.0620
F 0.2500 0.6955 0.2891
F 0.2500 0.1203 0.2322
F 0.0803 0.3322 0.4380
F 0.4197 0.3322 0.4380
F 0.7500 0.8797 0.7678
F 0.2500 0.3797 0.7322
F 0.0803 0.1678 0.9380
F 0.2500 0.4990 0.0086
F 0.2500 0.8045 0.7891
Pr 0.2500 0.6479 0.5515
Pr 0.7500 0.3521 0.4485
Pr 0.2500 0.8521 0.0515
Pr 0.7500 0.1479 0.9485
Be 0.7500 0.6839 0.0995
Be 0.2500 0.3161 0.9005
Be 0.7500 0.8161 0.5995
Be 0.2500 0.1839 0.4005

Values from the calculation:
Mass density: 3.881 g/cm3
Uncorrected formation energy: -26.1 eV/f.u.
Spin magnetization: 0.06 μB/f.u.
SG: Pnma, No. 62

=====

Entry 18:
DFT (PBE-GGA) results for a relaxed NdSnH6Ir2 crystal.

a b c (Å): 6.0308 6.0308 7.9867
angles (deg): 109.24 109.24 107.51
Fractional coordinates of all 20 atoms:
Ir 0.0686 0.3131 0.2536
Ir 0.3131 0.0686 0.7536
Ir 0.9314 0.6869 0.7464
Ir 0.6869 0.9314 0.2464
H 0.2713 0.9551 0.9287
H 0.1528 0.3774 0.0927
H 0.7287 0.0449 0.0713
H 0.4219 0.6506 0.0810
H 0.6226 0.8472 0.4073
H 0.8472 0.6226 0.9073
H 0.5781 0.3494 0.9190
H 0.0449 0.7287 0.5713
H 0.9551 0.2713 0.4287
H 0.3774 0.1528 0.5927
H 0.6506 0.4219 0.5810
H 0.3494 0.5781 0.4190
Nd 0.4096 0.5904 0.7500
Nd 0.5904 0.4096 0.2500
Sn 0.8635 0.1365 0.7500
Sn 0.1365 0.8635 0.2500

Values from the calculation:
Mass density: 9.434 g/cm3
VASP energy: -4.88 eV/atom
Spin magnetization: 0.00 μB/f.u.
SG: C2/c, No. 15

=====

Entry 19:
DFT (PBE-GGA) results for a relaxed Ca3PrHg4 crystal.

a b c (Å): 5.3758 5.3758 9.3688
angles (deg): 73.33 73.33 60.00
Fractional coordinates of all 8 atoms:
Hg 0.6241 0.6241 0.1278
Hg 0.1252 0.1252 0.6243
Hg 0.8748 0.8748 0.3757
Hg 0.3759 0.3759 0.8722
Ca 0.5000 0.5000 0.5000
Ca 0.7520 0.7520 0.7441
Ca 0.2480 0.2480 0.2559
Pr 0.0000 0.0000 0.0000

Values from the calculation:
Mass density: 7.982 g/cm3
VASP energy: -2.04 eV/atom
Spin magnetization: 0.00 μB/f.u.
SG: R-3m, No. 166

=====

Entry 20:
DFT (PBE-GGA) results for a relaxed Tl3Ag2WSe6 crystal.

a b c (Å): 7.0470 7.0470 7.4571
angles (deg): 99.36 99.36 119.68
Fractional coordinates of all 12 atoms:
Ag 0.3323 0.6677 0.0000
Ag 0.6677 0.3323 0.0000
Se 0.3661 0.0639 0.2020
Se 0.9361 0.6339 0.7980
Se 0.0639 0.3661 0.2020
Se 0.6339 0.9361 0.7980
Se 0.7608 0.7608 0.1991
Se 0.2392 0.2392 0.8009
Tl 0.5000 0.5000 0.5000
Tl 0.8374 0.1626 0.5000
Tl 0.1626 0.8374 0.5000
W 0.0000 0.0000 0.0000

Values from the calculation:
Mass density: 8.109 g/cm3
Uncorrected formation energy: -2.2 eV/f.u.
Spin magnetization: 0.00 μB/f.u.
SG: C2/m, No. 12

=====

Entry 21:
DFT (PBE-GGA) results for a relaxed NiGeTe3 crystal.

a b c (Å): 5.0636 5.0636 5.0636
angles (deg): 90.00 90.00 90.00
Fractional coordinates of all 5 atoms:
Te 0.0000 0.0000 0.5000
Te 0.0000 0.5000 0.0000
Te 0.5000 0.0000 0.0000
Ge 0.5000 0.5000 0.5000
Ni 0.0000 0.0000 0.0000

Values from the calculation:
Mass density: 6.576 g/cm3
Uncorrected formation energy: 1.7 eV/f.u.
Spin magnetization: 0.00 μB/f.u.
SG: Pm-3m, No. 221